Computed, not measured: an optimized crystal structure of KTlP2 at the PBE level of DFT.

Formation enthalpy at 0 K   -0.022 eV per atom
Crystal system   monoclinic
Relative energy among the computed polymorphs   157 meV per atom

a = 7.2977 Å, b = 4.8889 Å, c = 7.6736 Å
α = 90.00°, β = 117.33°, γ = 90.00°
Space group Cm (No. 8)
One atom of each set of equivalent atoms:
K (0.0000, 0.0000, 0.0000) [2 per cell]
Tl (0.1039, 0.5000, 0.4030) [2 per cell]
P (0.0137, 0.5000, 0.7253) [2 per cell]
P (0.1987, 0.0000, 0.6528) [2 per cell]

=====

Computed, not measured: an optimized crystal structure of NdZn4Pd2 at the PBE level of DFT.

Formation enthalpy at 0 K   -0.534 eV per atom
Crystal system   tetragonal
Relative energy among the computed polymorphs   0 meV per atom

a = 7.6286 Å, b = 7.6286 Å, c = 4.2572 Å
α = 90.00°, β = 90.00°, γ = 90.00°
Space group P4_2/mnm (No. 136)
One atom of each set of equivalent atoms:
Nd (0.0000, 0.0000, 0.0000) [2 per cell]
Zn (0.0943, 0.3517, 0.5000) [8 per cell]
Pd (0.2201, 0.7799, 0.5000) [4 per cell]

=====

Computed, not measured: an optimized crystal structure of SrReOs at the PBE level of DFT.

Formation enthalpy at 0 K   0.997 eV per atom
Crystal system   trigonal
Relative energy among the computed polymorphs   524 meV per atom

a = 2.9019 Å, b = 2.9019 Å, c = 7.6820 Å
α = 90.00°, β = 90.00°, γ = 120.00°
Space group P3m1 (No. 156)
One atom of each set of equivalent atoms:
Sr (0.0000, 0.0000, 0.0000) [1 per cell]
Re (0.3333, 0.6667, 0.6266) [1 per cell]
Os (0.6667, 0.3333, 0.3651) [1 per cell]

=====

Computed, not measured: an optimized crystal structure of CsZr2Br8 at the PBE level of DFT.

ΔE_f (raw)   -1335 meV/atom
Crystal system   trigonal

a = 10.2581 Å, b = 10.2581 Å, c = 5.4020 Å
α = 90.00°, β = 90.00°, γ = 120.00°
Space group P-3 (No. 147)
One atom of each set of equivalent atoms:
Cs (0.0000, 0.0000, 0.0000) [1 per cell]
Zr (0.3333, 0.6667, 0.2773) [2 per cell]
Br (0.1885, 0.3790, 0.2820) [6 per cell]
Br (0.3333, 0.6667, 0.7789) [2 per cell]

=====

Computed, not measured: an optimized crystal structure of LiTl2Ga2 at the PBE level of DFT.

Formation enthalpy at 0 K   0.078 eV per atom
Crystal system   tetragonal
Relative energy among the computed polymorphs   76 meV per atom

a = 4.8295 Å, b = 4.8295 Å, c = 11.4521 Å
α = 90.00°, β = 90.00°, γ = 90.00°
Space group I4/mmm (No. 139)
One atom of each set of equivalent atoms:
Li (0.0000, 0.0000, 0.0000) [2 per cell]
Tl (0.0000, 0.5000, 0.2500) [4 per cell]
Ga (0.0000, 0.0000, 0.3927) [4 per cell]

=====

Computed, not measured: an optimized crystal structure of NaSmGdPb at the PBE level of DFT.

Formation enthalpy at 0 K   -0.187 eV per atom
Crystal system   cubic

a = 7.7667 Å, b = 7.7667 Å, c = 7.7667 Å
α = 90.00°, β = 90.00°, γ = 90.00°
Space group F-43m (No. 216)
One atom of each set of equivalent atoms:
Na (0.0000, 0.0000, 0.0000) [4 per cell]
Sm (0.2500, 0.2500, 0.2500) [4 per cell]
Gd (0.2500, 0.2500, 0.7500) [4 per cell]
Pb (0.0000, 0.0000, 0.5000) [4 per cell]

=====

Computed, not measured: an optimized crystal structure of AcYHf at the PBE level of DFT.

Formation enthalpy at 0 K   0.287 eV per atom
Crystal system   monoclinic

a = 13.5226 Å, b = 3.4742 Å, c = 8.5016 Å
α = 90.00°, β = 98.59°, γ = 90.00°
Space group C2/m (No. 12)
One atom of each set of equivalent atoms:
Ac (0.2163, 0.0000, 0.1917) [4 per cell]
Y (0.0371, 0.0000, 0.7800) [4 per cell]
Hf (0.1109, 0.5000, 0.4888) [4 per cell]

=====

Computed, not measured: an optimized crystal structure of RbCdPdCl6 at the PBE level of DFT.

ΔE_f (raw)   -976 meV/atom
Crystal system   monoclinic

a = 6.8750 Å, b = 11.2416 Å, c = 7.3254 Å
α = 90.00°, β = 92.39°, γ = 90.00°
Space group C2 (No. 5)
One atom of each set of equivalent atoms:
Rb (0.0000, 0.0000, 0.0000) [2 per cell]
Cd (0.0000, 0.6750, 0.5000) [2 per cell]
Pd (0.0000, 0.3302, 0.5000) [2 per cell]
Cl (0.1340, 0.4822, 0.6871) [4 per cell]
Cl (0.1650, 0.1863, 0.6850) [4 per cell]
Cl (0.2030, 0.8133, 0.7145) [4 per cell]

=====

- What is the formula in the sixth record?
  NaSmGdPb